Density functional theory data (PBE-GGA) for ReSiAu2 after structural relaxation.

Geometry as extended XYZ:
```
4
Lattice="-1.380 1.106 2.224 -0.189 -2.823 -0.261 7.371 -0.961 5.052" Properties=species:S:1:pos:R:3 pbc="T T T"
Au 7.199 -0.939 4.934
Au 1.111 -1.106 2.280
Re 3.912 -0.510 2.681
Si 4.637 -1.566 4.697
```

total DFT energy (no corrections) = -5.79 eV per atom
formation energy from raw total energies = 0.313 eV/atom
spin magnetization = 0.0 μB per cell



Density functional theory data (PBE-GGA) for NdYNpO6 after structural relaxation.

Geometry as extended XYZ:
```
18
Lattice="-5.337 -1.892 -1.203 4.019 -3.700 1.914 -2.716 1.812 9.203" Properties=species:S:1:pos:R:3 pbc="T T T"
Nd 0.000 0.000 0.000
Nd -1.358 0.906 4.602
Y 0.222 -2.644 3.176
Y -4.255 -1.136 6.739
Np -2.897 -2.042 2.137
Np -1.136 -1.738 7.778
O -1.349 -3.357 1.681
O -4.210 -2.845 0.736
O 0.380 -3.089 7.319
O 0.177 -0.935 9.179
O -1.571 -1.282 3.551
O -3.628 -3.537 3.388
O -1.823 -3.242 9.043
O -4.414 -0.691 2.596
O -0.406 -0.243 6.527
O -2.210 -0.538 0.872
O -2.462 -2.498 6.364
O -2.684 -0.423 8.234
```

total DFT energy (no corrections) = -9.17 eV per atom
formation energy from raw total energies = -3.178 eV/atom
spin magnetization = 2.0 μB per cell



Density functional theory data (PBE-GGA) for K2MnPt after structural relaxation.

Geometry as extended XYZ:
```
4
Lattice="4.389 -0.003 0.007 2.203 3.796 0.007 2.028 1.167 8.963" Properties=species:S:1:pos:R:3 pbc="T T T"
K 6.532 3.759 0.983
K 6.523 3.755 5.762
Mn 4.331 2.492 3.367
Pt 2.135 1.229 3.366
```

formation enthalpy at 0 K = 0.120 eV/atom
total DFT energy (no corrections) = -4.23 eV per atom
energy relative to the lowest polymorph listed for this composition = 0.0 meV/atom
spin magnetization = 4.3 μB per cell



Density functional theory data (PBE-GGA) for Li2AcP after structural relaxation.

Geometry as extended XYZ:
```
4
Lattice="4.133 0.000 0.000 2.066 3.579 0.000 2.066 1.193 5.573" Properties=species:S:1:pos:R:3 pbc="T T T"
P 4.133 2.386 2.787
Ac 0.000 0.000 0.000
Li 6.199 3.579 3.321
Li 2.066 1.193 2.252
```

formation enthalpy at 0 K = -0.561 eV/atom
total DFT energy (no corrections) = -3.90 eV per atom
energy relative to the lowest polymorph listed for this composition = 0.0 meV/atom
spin magnetization = 0.0 μB per cell



Density functional theory data (PBE-GGA) for TbPmDyY3 after structural relaxation.

Geometry as extended XYZ:
```
12
Lattice="-0.806 3.362 -3.690 4.294 -6.057 -2.991 -8.539 -4.811 -2.517" Properties=species:S:1:pos:R:3 pbc="T T T"
Tb -4.270 -2.406 -1.259
Tb 0.000 0.000 0.000
Pm -2.518 -7.979 -6.718
Pm -2.533 0.472 -2.481
Dy -4.213 -4.846 -6.958
Dy -0.838 -2.661 -2.241
Y -3.374 -2.181 -4.714
Y -1.677 -5.326 -4.485
Y -5.941 -7.728 -5.742
Y 0.890 0.222 -3.457
Y -5.103 -5.072 -3.505
Y 0.052 -2.435 -5.694
```

formation enthalpy at 0 K = 0.020 eV/atom
total DFT energy (no corrections) = -5.54 eV per atom
spin magnetization = 0.0 μB per cell



Density functional theory data (PBE-GGA) for Ba4CdAg2Hg after structural relaxation.

Geometry as extended XYZ:
```
8
Lattice="-1.195 -4.565 3.559 1.138 -5.518 -1.788 8.855 -2.751 4.354" Properties=species:S:1:pos:R:3 pbc="T T T"
Ba 7.696 -6.190 4.461
Ba 3.297 -9.852 3.194
Ba 5.499 -2.982 2.931
Ba 1.101 -6.644 1.664
Cd 0.000 0.000 0.000
Ag 6.644 -9.622 4.613
Ag 2.153 -3.212 1.511
Hg 4.398 -6.417 3.062
```

formation enthalpy at 0 K = -0.310 eV/atom
total DFT energy (no corrections) = -2.14 eV per atom
spin magnetization = 0.0 μB per cell